This record from Alexandria via LeMat-Bulk describes a relaxed Ga2CuAu4 crystal. The functional is PBE.

Cell: 7.6351 7.6351 7.6351 Å, 33.78 33.78 33.78°
Closest atoms and distances in Å follow each position.
Fractional coordinates of all 7 atoms:
Ga  0.2478  0.2478  0.2478  8 Au 2.62-2.80
Ga  0.7522  0.7522  0.7522  8 Au 2.62-2.80
Cu  0.0000  0.0000  0.0000  8 Au 2.73
Au  0.1264  0.1264  0.1264  4 Ga 2.62-2.71, 1 Cu 2.73
Au  0.3773  0.3773  0.3773  4 Ga 2.71-2.80, 3 Cu 2.73
Au  0.6227  0.6227  0.6227  4 Ga 2.71-2.80, 3 Cu 2.73
Au  0.8736  0.8736  0.8736  4 Ga 2.62-2.71, 1 Cu 2.73

Results
Energy: -0.25238 Ry/atom
Space-group type: No. 166